Record 1
SiHgCl2 after structural relaxation, computed with PBE-GGA.

## Properties
Total magnetization ... 0.00 μB/atom
Energy relative to the elements, uncorrected ... -0.323 eV per atom

Cell: 11.084 11.084 11.084 Å, 19.77 19.77 19.77°
Sites, in units of the cell vectors:
Si: 0.000 0.000 0.000
Hg: 0.500 0.500 0.500
Cl: 0.378 0.378 0.378
Cl: 0.622 0.622 0.622

***

Record 2
VReH after structural relaxation, computed with PBE-GGA.

## Properties
Calculated total energy ... -8.203 eV per atom
Total magnetization ... 0.00 μB/atom

Cell: 4.994 4.549 5.540 Å, 90.00 90.00 90.00°
Sites, in units of the cell vectors:
V: 0.123 0.250 0.121
V: 0.377 0.750 0.621
V: 0.623 0.250 0.379
V: 0.877 0.750 0.879
Re: 0.065 0.250 0.645
Re: 0.435 0.750 0.145
Re: 0.565 0.250 0.855
Re: 0.935 0.750 0.355
H: 0.218 0.750 0.899
H: 0.282 0.250 0.399
H: 0.718 0.750 0.601
H: 0.782 0.250 0.101

***

Record 3
Ba2LaAu after structural relaxation, computed with PBE-GGA.

## Properties
Total magnetization ... 0.01 μB/atom
E_form ... 0.11 eV per atom

Cell: 5.851 5.851 5.851 Å, 60.00 60.00 60.00°
Sites, in units of the cell vectors:
Ba: 0.250 0.250 0.250
Ba: 0.750 0.750 0.750
La: 0.000 0.000 0.000
Au: 0.500 0.500 0.500

***

Record 4
Pr2AsO after structural relaxation, computed with PBE-GGA.

## Properties
Total magnetization ... 0.00 μB/atom
Energy relative to the elements, uncorrected ... -1.970 eV per atom

Cell: 6.842 6.842 6.842 Å, 33.83 33.83 33.83°
Sites, in units of the cell vectors:
Pr: 0.239 0.239 0.239
Pr: 0.761 0.761 0.761
As: 0.000 0.000 0.000
O: 0.500 0.500 0.500

***

Record 5
PmEr5TmSc2 after structural relaxation, computed with PBE-GGA.

## Properties
Total magnetization ... 0.00 μB/atom
E_form ... 0.17 eV per atom

Cell: 11.016 11.016 9.253 Å, 90.00 90.00 150.80°
Sites, in units of the cell vectors:
Pm: 0.185 0.815 0.500
Pm: 0.815 0.185 0.000
Er: 0.010 0.990 0.498
Er: 0.265 0.735 0.817
Er: 0.308 0.692 0.202
Er: 0.393 0.607 0.530
Er: 0.469 0.531 0.231
Er: 0.531 0.469 0.731
Er: 0.607 0.393 0.030
Er: 0.692 0.308 0.702
Er: 0.735 0.265 0.317
Er: 0.990 0.010 0.998
Tm: 0.403 0.597 0.903
Tm: 0.597 0.403 0.403
Sc: 0.113 0.887 0.807
Sc: 0.137 0.863 0.181
Sc: 0.863 0.137 0.681
Sc: 0.887 0.113 0.307

***

Record 6
LiBePb4 after structural relaxation, computed with PBE-GGA.

## Properties
Total magnetization ... 0.00 μB/atom
E_form ... 0.53 eV per atom

Cell: 6.425 6.425 6.425 Å, 60.00 60.00 60.00°
Sites, in units of the cell vectors:
Li: 0.000 0.000 0.000
Be: 0.250 0.250 0.250
Pb: 0.125 0.625 0.625
Pb: 0.625 0.125 0.625
Pb: 0.625 0.625 0.125
Pb: 0.625 0.625 0.625